NaPmNb after structural relaxation, computed with PBE.

Magnetic moment = 14.2 μB/cell
Energy above the most stable polymorph in this dataset = 0.0 meV per atom

abc: 7.262 7.262 7.262
angles: 90.00 90.00 90.00
Space group F-43m (No. 216)
Unique sites:
Na 0.000 0.000 0.000
Pm 0.000 0.000 0.500
Nb 0.250 0.250 0.250